(1)
Density functional theory data (PBEsol) for a relaxed structure of ZrSc2Mo.

Cell lengths 3.9558, 4.1853, 4.7742 Å; angles 90.00, 90.00, 90.00 degrees
Fractional positions:
Zr: 0.0000 0.0000 0.0000
Sc: 0.0000 0.5000 0.5000
Sc: 0.5000 0.0000 0.5000
Mo: 0.5000 0.5000 0.0000

Results
Space group: No. 47
Formation energy from the elements: 0.16 eV/atom

***

(2)
Density functional theory data (PBEsol) for a relaxed structure of SrEr2S4.

Cell lengths 11.7641, 3.9140, 14.0876 Å; angles 90.00, 90.00, 90.00 degrees
Fractional positions:
Sr: 0.2426 0.2500 0.1626
Sr: 0.2574 0.7500 0.6626
Sr: 0.7426 0.2500 0.3374
Sr: 0.7574 0.7500 0.8374
Er: 0.0690 0.2500 0.3909
Er: 0.0798 0.2500 0.8994
Er: 0.4202 0.7500 0.3994
Er: 0.4310 0.7500 0.8909
Er: 0.5690 0.2500 0.1091
Er: 0.5798 0.2500 0.6006
Er: 0.9202 0.7500 0.1006
Er: 0.9310 0.7500 0.6091
S: 0.0218 0.7500 0.7836
S: 0.0851 0.2500 0.5793
S: 0.1310 0.7500 0.0260
S: 0.2079 0.7500 0.3265
S: 0.2921 0.2500 0.8265
S: 0.3690 0.2500 0.5260
S: 0.4149 0.7500 0.0793
S: 0.4782 0.2500 0.2836
S: 0.5218 0.7500 0.7164
S: 0.5851 0.2500 0.9207
S: 0.6310 0.7500 0.4740
S: 0.7079 0.7500 0.1735
S: 0.7921 0.2500 0.6735
S: 0.8690 0.2500 0.9740
S: 0.9149 0.7500 0.4207
S: 0.9782 0.2500 0.2164

Results
Formation energy from raw total energies: -2175 meV per atom
Space group: No. 62

***

(3)
Density functional theory data (PBEsol) for a relaxed structure of Fe4MoIr.

Cell lengths 4.6222, 4.6222, 4.6222 Å; angles 60.00, 60.00, 60.00 degrees
Fractional positions:
Fe: 0.3758 0.3758 0.3758
Fe: 0.3758 0.3758 0.8726
Fe: 0.3758 0.8726 0.3758
Fe: 0.8726 0.3758 0.3758
Mo: 0.0000 0.0000 0.0000
Ir: 0.7500 0.7500 0.7500

Results
Space group: No. 216
Formation energy from the elements: -0.10 eV/atom

***

Which formula does entry 2 have?
SrEr2S4